1.
Entry from the Alexandria database: crystalline CsH2N at its relaxed geometry (GGA-PBE).

DOS at the Fermi energy in states/eV per atom: 0.000
Calculated total energy in eV per cell: -17.28

Cell and atoms, written as extended XYZ:
```
4
Lattice="4.366 0.000 0.000 1.893 4.369 0.000 1.963 0.448 4.346" Properties=species:S:1:pos:R:3 pbc="T T T"
Cs 0.000 0.000 0.000
H 3.280 2.428 1.937
H 4.860 2.624 2.130
N 4.075 2.966 1.552
```


2.
Entry from the Alexandria database: crystalline Cs2H4N at its relaxed geometry (GGA-PBE).

DOS at the Fermi energy in states/eV per atom: 0.226
Calculated total energy in eV per cell: -50.08

Cell and atoms, written as extended XYZ:
```
14
Lattice="5.843 0.000 0.000 0.000 6.335 0.000 -0.525 0.000 11.713" Properties=species:S:1:pos:R:3 pbc="T T T"
Cs 1.010 1.584 2.024
Cs 1.260 4.751 5.477
Cs 4.058 1.584 6.236
Cs 4.308 4.751 9.689
H 1.141 1.584 5.066
H 1.788 0.771 9.142
H 1.788 2.397 9.142
H 2.608 4.751 1.508
H 2.710 1.584 10.205
H 3.530 3.938 2.572
H 3.530 5.564 2.572
H 4.177 4.751 6.647
N 2.424 1.584 9.212
N 2.894 4.751 2.501
```


3.
Entry from the Alexandria database: crystalline CsH3N at its relaxed geometry (GGA-PBE).

DOS at the Fermi energy in states/eV per atom: 0.182
Calculated total energy in eV per cell: -14.10

Cell and atoms, written as extended XYZ:
```
5
Lattice="3.667 0.000 0.000 0.000 3.667 0.000 0.000 0.000 3.667" Properties=species:S:1:pos:R:3 pbc="T T T"
Cs 0.000 0.000 0.000
H 0.000 1.833 1.833
H 1.833 0.000 1.833
H 1.833 1.833 0.000
N 1.833 1.833 1.833
```


4.
Entry from the Alexandria database: crystalline Cs2H7N2 at its relaxed geometry (GGA-PBE).

DOS at the Fermi energy in states/eV per atom: 0.150
Calculated total energy in eV per cell: -44.70

Cell and atoms, written as extended XYZ:
```
11
Lattice="6.479 -4.741 0.000 6.479 4.741 0.000 -0.937 0.000 4.688" Properties=species:S:1:pos:R:3 pbc="T T T"
Cs 6.479 2.781 0.000
Cs 6.479 -2.781 0.000
H -0.469 0.000 2.344
H 1.462 0.000 2.111
H 2.862 0.809 1.723
H 2.862 -0.809 1.723
H 9.159 0.809 2.964
H 9.159 -0.809 2.964
H 10.559 0.000 2.576
N 2.282 0.000 1.472
N 9.739 0.000 3.216
```


5.
Entry from the Alexandria database: crystalline CsH4N2 at its relaxed geometry (GGA-PBE).

DOS at the Fermi energy in states/eV per atom: 0.136
Calculated total energy in eV per cell: -28.37

Cell and atoms, written as extended XYZ:
```
7
Lattice="-3.159 3.159 2.205 3.159 -3.159 2.205 3.159 3.159 -2.205" Properties=species:S:1:pos:R:3 pbc="T T T"
Cs 0.000 0.000 0.000
H 3.159 0.700 0.000
H 0.700 3.159 0.000
H 2.459 0.000 2.205
H 0.000 2.459 2.205
N 3.159 0.000 1.102
N 0.000 3.159 1.102
```


6.
Entry from the Alexandria database: crystalline CsHN3 at its relaxed geometry (GGA-PBE).

DOS at the Fermi energy in states/eV per atom: 1.061
Calculated total energy in eV per cell: -14.21

Cell and atoms, written as extended XYZ:
```
5
Lattice="3.794 0.000 0.000 0.000 3.794 0.000 0.000 0.000 3.794" Properties=species:S:1:pos:R:3 pbc="T T T"
Cs 0.000 0.000 0.000
H 1.897 1.897 1.897
N 0.000 1.897 1.897
N 1.897 0.000 1.897
N 1.897 1.897 0.000
```


7.
Entry from the Alexandria database: crystalline Cs5H8N at its relaxed geometry (GGA-PBE).

DOS at the Fermi energy in states/eV per atom: 0.101
Calculated total energy in eV per cell: -39.86

Cell and atoms, written as extended XYZ:
```
14
Lattice="-4.572 4.572 5.472 4.572 -4.572 5.472 4.572 4.572 -5.472" Properties=species:S:1:pos:R:3 pbc="T T T"
Cs 0.000 0.000 0.000
Cs 1.931 3.460 -1.207
Cs 5.684 1.931 1.207
Cs 2.641 1.112 4.264
Cs -1.112 2.641 6.679
H 3.571 -1.875 4.315
H 2.697 1.001 1.157
H 1.001 6.447 -1.157
H 0.832 4.310 2.130
H -0.262 3.740 3.341
H -0.832 4.834 2.130
H 0.262 5.404 3.341
H 1.875 3.571 6.628
N 0.000 4.572 2.736
```


8.
Entry from the Alexandria database: crystalline CsH3N at its relaxed geometry (GGA-PBE).

DOS at the Fermi energy in states/eV per atom: 0.294
Calculated total energy in eV per cell: -41.25

Cell and atoms, written as extended XYZ:
```
10
Lattice="4.418 2.551 4.984 -4.418 2.551 4.984 0.000 -5.102 4.984" Properties=species:S:1:pos:R:3 pbc="T T T"
Cs 0.000 0.000 0.000
Cs 0.000 0.000 7.476
H -0.010 -0.950 3.521
H -0.818 0.484 3.521
H 0.828 0.466 3.521
H -0.828 0.466 10.997
H 0.010 -0.950 10.997
H 0.818 0.484 10.997
N 0.000 0.000 3.125
N 0.000 0.000 10.600
```


Q: Among the records above, which one has the highest DOS at the Fermi energy?
A: CsHN3